# 1
First-principles (PBE) data for a relaxed SmGdFe2Pb crystal, as listed in OQMD via LeMat-Bulk.

Properties
DFT total energy: -30.5 eV per cell
crystal system: orthorhombic

Unit cell a=3.894 b=7.464 c=7.464 alpha=30.57 beta=90.00 gamma=90.00
Last column: magnetic moment on the atom in μB.
Fractional positions:
Sm 0.000 0.363 0.363  -0.19
Gd 0.000 0.638 0.638  -0.26
Fe 0.500 0.205 0.205  1.89
Fe 0.500 0.792 0.792  1.88
Pb 0.500 0.001 0.001  -0.04


# 2
First-principles (PBE) data for a relaxed Pu3Ni crystal, as listed in OQMD via LeMat-Bulk.

Properties
polymorph energy (0 for the lowest one): 0.14 eV per formula unit
DFT total energy: -47.6 eV per cell
crystal system: tetragonal
calculated formation energy: 0.075 eV per atom

Unit cell a=5.623 b=5.623 c=5.623 alpha=135.76 beta=135.76 gamma=64.36
Last column: magnetic moment on the atom in μB.
Fractional positions:
Pu 0.750 0.250 0.500  5.34
Ni 0.000 0.000 0.000  0.25
Pu 0.250 0.750 0.500  5.34
Pu 0.500 0.500 0.000  5.23


# 3
First-principles (PBE) data for a relaxed YCoReGe crystal, as listed in OQMD via LeMat-Bulk.

Properties
polymorph energy (0 for the lowest one): 0.00 eV per formula unit
DFT total energy: -29.6 eV per cell
crystal system: cubic

Unit cell a=4.499 b=4.499 c=4.499 alpha=60.00 beta=60.00 gamma=60.00
Last column: magnetic moment on the atom in μB.
Fractional positions:
Ge 0.000 0.000 0.000  -0.01
Co 0.750 0.750 0.750  0.21
Re 0.250 0.250 0.250  0.37
Y 0.500 0.500 0.500  0.06